1.
# Mo2PbW

A geometry-optimized Mo2PbW structure (PBE, the Alexandria database).

Values from the calculation:
Total energy   -8.951 eV per atom
DFT formation energy   0.630 eV/atom
Space group   Immm, No. 71

Cell: 5.364 5.364 5.364 Å, 143.29 129.38 64.14°
Positions (direct):
Mo (0.988, 0.988, 0.000)
Mo (0.512, 0.512, 0.000)
Pb (0.250, 0.750, 0.500)
W (0.750, 0.250, 0.500)

---

2.
# Mo2PbW

A geometry-optimized Mo2PbW structure (PBE, the Alexandria database).

Values from the calculation:
Total energy   -8.460 eV per atom
DFT formation energy   1.121 eV/atom
Space group   I-42d, No. 122

Cell: 7.612 7.612 6.065 Å, 51.13 51.13 90.00°
Positions (direct):
Pb (0.000, 0.000, 0.000)
Pb (0.750, 0.250, 0.500)
Mo (0.569, 0.125, 0.250)
Mo (0.181, 0.625, 0.250)
Mo (0.375, 0.431, 0.750)
Mo (0.875, 0.819, 0.750)
W (0.500, 0.500, 0.000)
W (0.250, 0.750, 0.500)

---

3.
# Mo2PbW

A geometry-optimized Mo2PbW structure (PBE, the Alexandria database).

Values from the calculation:
Total energy   -9.078 eV per atom
DFT formation energy   0.503 eV/atom
Space group   P4/mmm, No. 123

Cell: 3.130 3.130 7.583 Å, 90.00 90.00 90.00°
Positions (direct):
Mo (0.000, 0.000, 0.956)
Mo (0.000, 0.000, 0.544)
Pb (0.500, 0.500, 0.250)
W (0.500, 0.500, 0.750)

---

4.
# Mo2PbW

A geometry-optimized Mo2PbW structure (PBE, the Alexandria database).

Values from the calculation:
Total energy   -8.801 eV per atom
DFT formation energy   0.780 eV/atom
Space group   Pmmm, No. 47

Cell: 3.468 4.552 4.466 Å, 90.00 90.00 90.00°
Positions (direct):
Mo (0.000, 0.000, 0.000)
Mo (0.500, 0.500, 0.000)
Pb (0.500, 0.000, 0.500)
W (0.000, 0.500, 0.500)